Entry 1:
## Hf6ZrTi (GGA-PBE)

Data for Hf6ZrTi after structural relaxation.

Properties
**DOS(E_F)**: 10.0 states/eV/f.u.
**ΔE_f**: 0.16 eV per atom
**Relative energy among the computed polymorphs**: 145 meV per atom

Cell lengths 7.4914, 8.5570, 5.6861 Å; angles 41.22, 48.81, 55.22 degrees
Sites, in units of the cell vectors:
Hf: 0.7650 0.9434 0.8320
Zr: 0.5000 0.5000 0.5000
Hf: 0.4593 0.7652 0.7192
Ti: 0.0000 0.0000 0.0000
Hf: 0.9435 0.5406 0.7508
Hf: 0.5407 0.2348 0.2808
Hf: 0.0565 0.4594 0.2492
Hf: 0.2350 0.0566 0.1680

---

Entry 2:
## TmSc2CdO (GGA-PBE)

Data for TmSc2CdO after structural relaxation.

Properties
**DOS(E_F)**: 2.1 states/eV/f.u.

Cell lengths 4.6461, 4.4936, 4.4936 Å; angles 90.00, 90.00, 90.00 degrees
Sites, in units of the cell vectors:
O: 0.0000 0.0000 0.0000
Cd: 0.5000 0.5000 0.5000
Tm: 0.5000 0.0000 0.0000
Sc: 0.0000 0.0000 0.5000
Sc: 0.0000 0.5000 0.0000

---

Entry 3:
## VCo2Ni2 (GGA-PBE)

Data for VCo2Ni2 after structural relaxation.

Properties
**DOS(E_F)**: 6.8 states/eV/f.u.
**ΔE_f**: 0.12 eV per atom
**Relative energy among the computed polymorphs**: 219 meV per atom

Cell lengths 6.7692, 6.7692, 2.5371 Å; angles 90.00, 90.00, 90.00 degrees
Sites, in units of the cell vectors:
Co: 0.1726 0.6726 0.5000
Ni: 0.3755 0.8755 0.0000
Ni: 0.1245 0.3755 0.0000
Ni: 0.8755 0.6245 0.0000
Co: 0.6726 0.8274 0.5000
V: 0.5000 0.5000 0.0000
Co: 0.3274 0.1726 0.5000
V: 0.0000 0.0000 0.0000
Ni: 0.6245 0.1245 0.0000
Co: 0.8274 0.3274 0.5000

---

Entry 4:
## Sr5Rh2I2 (GGA-PBE)

Data for Sr5Rh2I2 after structural relaxation.

Properties
**DOS(E_F)**: 3.8 states/eV/f.u.

Cell lengths 8.3156, 8.3192, 9.8983 Å; angles 90.00, 65.16, 90.00 degrees
Sites, in units of the cell vectors:
Sr: 0.7762 0.8359 0.7768
Rh: 0.1206 0.3798 0.0000
Sr: 0.2762 0.6641 0.7768
I: 0.7162 0.5000 0.5677
Rh: 0.3794 0.8798 0.0000
Sr: 0.0530 0.6641 0.2232
Rh: 0.6206 0.1202 0.0000
Sr: 0.2238 0.1641 0.2232
Sr: 0.9470 0.3359 0.7768
Rh: 0.8794 0.6202 0.0000
Sr: 0.5000 0.5000 0.0000
Sr: 0.0000 0.0000 0.0000
I: 0.2162 0.0000 0.5677
I: 0.7838 0.0000 0.4323
Sr: 0.5530 0.8359 0.2232
I: 0.2838 0.5000 0.4323
Sr: 0.4470 0.1641 0.7768
Sr: 0.7238 0.3359 0.2232

---

Entry 5:
## PrEr5Hg3 (GGA-PBE)

Data for PrEr5Hg3 after structural relaxation.

Properties
**DOS(E_F)**: 6.6 states/eV/f.u.
**ΔE_f**: -0.29 eV per atom

Cell lengths 6.9160, 9.0670, 9.0662 Å; angles 120.00, 90.00, 90.00 degrees
Sites, in units of the cell vectors:
Er: 0.2500 0.3318 0.3318
Hg: 0.7500 0.3408 0.3408
Er: 0.7500 0.3318 0.0000
Er: 0.2500 0.0000 0.6682
Er: 0.5000 0.6667 0.3333
Hg: 0.7500 0.0000 0.6592
Hg: 0.2500 0.6592 0.6592
Pr: 0.5000 0.0000 0.0000
Er: 0.7500 0.0000 0.3318
Er: 0.2500 0.6682 0.0000
Er: 0.5000 0.3333 0.6667
Er: 0.7500 0.6682 0.6682
Pr: 0.0000 0.0000 0.0000
Er: 0.0000 0.6667 0.3333
Hg: 0.7500 0.6592 0.0000
Hg: 0.2500 0.3408 0.0000
Hg: 0.2500 0.0000 0.3408
Er: 0.0000 0.3333 0.6667

---

Entry 6:
## PmNd2Ga2 (GGA-PBE)

Data for PmNd2Ga2 after structural relaxation.

Properties
**DOS(E_F)**: 5.1 states/eV/f.u.
**ΔE_f**: -0.47 eV per atom
**Relative energy among the computed polymorphs**: 0 meV per atom

Cell lengths 4.7717, 5.9288, 5.9288 Å; angles 69.78, 66.27, 66.27 degrees
Sites, in units of the cell vectors:
Ga: 0.5000 0.6989 0.3011
Pm: 0.0000 0.0000 0.0000
Nd: 0.1975 0.3025 0.3025
Nd: 0.8025 0.6975 0.6975
Ga: 0.5000 0.3011 0.6989

---

Entry 7:
## BaIn7Hg12 (GGA-PBE)

Data for BaIn7Hg12 after structural relaxation.

Properties
**DOS(E_F)**: 10.5 states/eV/f.u.
**ΔE_f**: -0.06 eV per atom
**Relative energy among the computed polymorphs**: 0 meV per atom

Cell lengths 8.4413, 9.2220, 9.2220 Å; angles 111.12, 107.77, 107.77 degrees
Sites, in units of the cell vectors:
Hg: 0.2416 0.2416 0.4832
In: 0.5700 0.3613 0.3613
Hg: 0.2416 0.4832 0.2416
Hg: 0.0847 0.6687 0.6687
Hg: 0.4160 0.0000 0.3313
Hg: 0.9153 0.3313 0.3313
Ba: 0.0000 0.0000 0.0000
In: 0.5000 0.0000 0.0000
Hg: 0.5840 0.0000 0.6687
Hg: 0.7584 0.5168 0.7584
In: 0.2088 0.6387 0.0000
Hg: 0.0000 0.7584 0.2416
Hg: 0.7584 0.7584 0.5168
Hg: 0.0000 0.2416 0.7584
In: 0.7912 0.0000 0.3613
In: 0.7912 0.3613 0.0000
Hg: 0.4160 0.3313 0.0000
Hg: 0.5840 0.6687 0.0000
In: 0.4300 0.6387 0.6387
In: 0.2088 0.0000 0.6387

---

Entry 8:
## YMgTl2 (GGA-PBE)

Data for YMgTl2 after structural relaxation.

Properties
**DOS(E_F)**: 3.0 states/eV/f.u.
**ΔE_f**: -0.06 eV per atom

Cell lengths 8.1622, 8.1622, 6.6727 Å; angles 52.29, 52.29, 90.00 degrees
Sites, in units of the cell vectors:
Tl: 0.1497 0.6250 0.2500
Y: 0.0000 0.0000 0.0000
Mg: 0.2500 0.7500 0.5000
Tl: 0.3750 0.3997 0.7500
Mg: 0.5000 0.5000 0.0000
Y: 0.7500 0.2500 0.5000
Tl: 0.8750 0.8503 0.7500
Tl: 0.6003 0.1250 0.2500

---

Entry 9:
## ErBeH2O4 (GGA-PBE)

Data for ErBeH2O4 after structural relaxation.

Properties
**DOS(E_F)**: 2.6 states/eV/f.u.

Cell lengths 4.2948, 4.4772, 4.4772 Å; angles 72.61, 61.34, 61.34 degrees
Sites, in units of the cell vectors:
H: 0.1712 0.3288 0.3288
O: 0.0669 0.8017 0.5351
Be: 0.5000 0.5000 0.5000
H: 0.8288 0.6712 0.6712
O: 0.5963 0.5351 0.8017
Er: 0.0000 0.0000 0.0000
O: 0.4037 0.1983 0.4649
O: 0.9331 0.4649 0.1983

---

Entry 10:
## TbPr4Y2Er2 (GGA-PBE)

Data for TbPr4Y2Er2 after structural relaxation.

Properties
**DOS(E_F)**: 13.7 states/eV/f.u.
**ΔE_f**: 0.02 eV per atom

Cell lengths 5.1200, 8.1044, 8.0851 Å; angles 107.38, 90.00, 108.41 degrees
Sites, in units of the cell vectors:
Pr: 0.4459 0.8917 0.6709
Pr: 0.7777 0.5553 0.6697
Tb: 0.0000 0.0000 0.0000
Pr: 0.5541 0.1083 0.3291
Y: 0.8883 0.7766 0.3296
Er: 0.6676 0.3353 0.9998
Y: 0.1117 0.2234 0.6704
Pr: 0.2223 0.4447 0.3303
Er: 0.3324 0.6647 0.0002

---

Entry 11:
## PrSnPt (GGA-PBE)

Data for PrSnPt after structural relaxation.

Properties
**DOS(E_F)**: 6.6 states/eV/f.u.
**ΔE_f**: -0.92 eV per atom

Cell lengths 4.8306, 4.8306, 4.8306 Å; angles 60.00, 60.00, 60.00 degrees
Sites, in units of the cell vectors:
Pt: 0.2500 0.2500 0.2500
Pr: 0.5000 0.5000 0.5000
Sn: 0.0000 0.0000 0.0000

---

Entry 12:
## KYSi2 (GGA-PBE)

Data for KYSi2 after structural relaxation.

Properties
**DOS(E_F)**: 3.1 states/eV/f.u.
**Relative energy among the computed polymorphs**: 588 meV per atom

Cell lengths 5.3187, 5.3187, 10.5117 Å; angles 75.35, 75.35, 90.00 degrees
Sites, in units of the cell vectors:
Si: 0.8741 0.1250 0.2500
K: 0.2500 0.7500 0.5000
Si: 0.8750 0.1241 0.7500
Si: 0.3750 0.1259 0.7500
Si: 0.8759 0.6250 0.2500
Y: 0.0000 0.0000 0.0000
K: 0.5000 0.5000 0.0000
Y: 0.7500 0.2500 0.5000

---

Entry 13:
## Pm3TiTl3Te8 (GGA-PBE)

Data for Pm3TiTl3Te8 after structural relaxation.

Properties
**DOS(E_F)**: 0.7 states/eV/f.u.

Cell lengths 8.8166, 8.8148, 9.7056 Å; angles 117.00, 90.00, 120.01 degrees
Sites, in units of the cell vectors:
Pm: 0.5000 0.0000 0.5000
Pm: 0.0000 0.5000 0.5000
Tl: 0.0000 0.5000 0.0000
Tl: 0.0000 0.0000 0.0000
Te: 0.7805 0.0149 0.2954
Ti: 0.0000 0.0000 0.5000
Pm: 0.5000 0.5000 0.5000
Te: 0.2195 0.4390 0.7046
Tl: 0.5000 0.5000 0.0000
Te: 0.2592 0.5184 0.2776
Te: 0.2344 0.0149 0.2954
Te: 0.7408 0.4816 0.7224
Te: 0.7656 0.9851 0.7046
Te: 0.7805 0.5610 0.2954
Te: 0.2195 0.9851 0.7046

---

Entry 14:
## LiAs2Ru (GGA-PBE)

Data for LiAs2Ru after structural relaxation.

Properties
**DOS(E_F)**: 2.7 states/eV/f.u.
**ΔE_f**: -0.18 eV per atom

Cell lengths 4.6723, 4.6723, 4.7560 Å; angles 77.05, 77.05, 39.69 degrees
Sites, in units of the cell vectors:
Li: 0.4786 0.4786 0.5754
Ru: 0.2743 0.2743 0.2163
As: 0.0034 0.0034 0.0808
As: 0.7437 0.7437 0.6275

---

Entry 15:
## KRbMnCl6 (GGA-PBE)

Data for KRbMnCl6 after structural relaxation.

Cell lengths 7.3647, 7.3647, 6.5747 Å; angles 90.00, 90.00, 60.00 degrees
Sites, in units of the cell vectors:
K: 0.6666 0.6667 0.5000
Rb: 0.0000 0.0000 0.0000
Cl: 0.0803 0.5870 0.7035
Mn: 0.3333 0.3333 0.5000
Cl: 0.3326 0.5870 0.2965
Cl: 0.5870 0.0803 0.2965
Cl: 0.3326 0.0804 0.7035
Cl: 0.5870 0.3327 0.7035
Cl: 0.0803 0.3326 0.2965

---

Entry 16:
## HfBe2Ga2 (GGA-PBE)

Data for HfBe2Ga2 after structural relaxation.

Properties
**DOS(E_F)**: 1.2 states/eV/f.u.
**ΔE_f**: 0.00 eV per atom
**Relative energy among the computed polymorphs**: 141 meV per atom

Cell lengths 6.9723, 6.9723, 2.8933 Å; angles 90.00, 90.00, 90.00 degrees
Sites, in units of the cell vectors:
Hf: 0.0000 0.0000 0.0000
Be: 0.3838 0.8838 0.0000
Be: 0.6162 0.1162 0.0000
Ga: 0.3272 0.1728 0.5000
Be: 0.8838 0.6162 0.0000
Hf: 0.5000 0.5000 0.0000
Ga: 0.6728 0.8272 0.5000
Ga: 0.1728 0.6728 0.5000
Be: 0.1162 0.3838 0.0000
Ga: 0.8272 0.3272 0.5000

---

Entry 17:
## ZnSb2Pb (GGA-PBE)

Data for ZnSb2Pb after structural relaxation.

Properties
**DOS(E_F)**: 2.1 states/eV/f.u.

Cell lengths 3.9895, 3.9895, 6.9564 Å; angles 90.00, 90.00, 90.00 degrees
Sites, in units of the cell vectors:
Pb: 0.5000 0.5000 0.6919
Sb: 0.0000 0.0000 0.0660
Sb: 0.5000 0.5000 0.2386
Zn: 0.0000 0.0000 0.5035

---

Entry 18:
## NdSm6S8 (GGA-PBE)

Data for NdSm6S8 after structural relaxation.

Properties
**DOS(E_F)**: 7.9 states/eV/f.u.
**Relative energy among the computed polymorphs**: 389 meV per atom

Cell lengths 8.0008, 8.0008, 8.0008 Å; angles 97.18, 97.18, 97.18 degrees
Sites, in units of the cell vectors:
S: 0.3389 0.5786 0.8451
Sm: 0.8159 0.6427 0.4412
S: 0.1549 0.6611 0.4214
S: 0.2273 0.2273 0.2273
S: 0.8451 0.3389 0.5786
Sm: 0.6427 0.4412 0.8159
Nd: 0.0000 0.0000 0.0000
S: 0.6611 0.4214 0.1549
S: 0.4214 0.1549 0.6611
Sm: 0.5588 0.1841 0.3573
Sm: 0.3573 0.5588 0.1841
Sm: 0.4412 0.8159 0.6427
S: 0.7727 0.7727 0.7727
S: 0.5786 0.8451 0.3389
Sm: 0.1841 0.3573 0.5588

---

Entry 19:
## DyHo2AlS6 (GGA-PBE)

Data for DyHo2AlS6 after structural relaxation.

Properties
**DOS(E_F)**: 0.0 states/eV/f.u.

Cell lengths 6.7050, 6.7048, 7.0902 Å; angles 61.78, 61.78, 60.00 degrees
Sites, in units of the cell vectors:
S: 0.9562 0.5831 0.2472
S: 0.5832 0.2136 0.2471
S: 0.1170 0.4240 0.7692
Al: 0.3207 0.3207 0.0377
Dy: 0.8160 0.8160 0.5520
S: 0.6898 0.1169 0.7693
Ho: 0.5221 0.5221 0.4337
Ho: 0.0190 0.0191 0.9428
S: 0.2135 0.9562 0.2471
S: 0.4240 0.6898 0.7692

---

Entry 20:
## Pa2PN5 (GGA-PBE)

Data for Pa2PN5 after structural relaxation.

Properties
**DOS(E_F)**: 0.0 states/eV/f.u.

Cell lengths 6.8292, 7.9680, 9.7575 Å; angles 72.43, 69.52, 64.62 degrees
Sites, in units of the cell vectors:
N: 0.1653 0.9188 0.3190
N: 0.5659 0.7662 0.8314
N: 0.4236 0.3637 0.6076
N: 0.8347 0.0812 0.6810
P: 0.7352 0.5512 0.8096
Pa: 0.2385 0.4581 0.8355
N: 0.2672 0.0469 0.5625
N: 0.7328 0.9531 0.4375
N: 0.4341 0.2338 0.1686
N: 0.9062 0.0373 0.1429
N: 0.8766 0.4531 0.9375
P: 0.9040 0.0512 0.3096
N: 0.1634 0.7338 0.6686
N: 0.5969 0.4188 0.8190
Pa: 0.7940 0.3887 0.5336
N: 0.1234 0.5469 0.0625
N: 0.6051 0.8637 0.1076
N: 0.5764 0.6363 0.3924
Pa: 0.7615 0.5419 0.1645
Pa: 0.2838 0.8887 0.0336
N: 0.4031 0.5812 0.1810
P: 0.0960 0.9488 0.6904
Pa: 0.2060 0.6113 0.4664
N: 0.9135 0.5373 0.6429
P: 0.2648 0.4488 0.1904
N: 0.3949 0.1363 0.8924
N: 0.0865 0.4627 0.3571
N: 0.0938 0.9627 0.8571
Pa: 0.4679 0.9581 0.3355
Pa: 0.7162 0.1113 0.9664
N: 0.8366 0.2662 0.3314
Pa: 0.5321 0.0419 0.6645

---

VASP energy, respectively: -74.86 -29.85 -68.59 -65.30 -62.24 -22.69 -25.93 -26.10 -50.30 -45.61 -17.59 -34.11 -68.61 -21.19 -34.45 -46.88 -12.62 -90.94 -59.77 -305.43 eV per cell.
Volume, respectively: 22.334 18.763 11.626 34.523 27.352 27.429 28.192 27.887 8.253 33.568 26.568 34.710 37.080 16.098 34.313 14.065 27.679 33.265 23.125 13.816 Å³ per atom.